[1]
Below is crystalline Tb12HoSc2 at its relaxed geometry, with properties calculated at the GGA-PBE level.

## Properties
The calculation puts the density of states at the Fermi level at 24.78 states/eV/f.u. As for the formation energy: 0.10 eV/atom.

abc: 3.592 5.635 23.200
angles: 90.00 94.42 90.00
Space group P2/m (No. 10)
Unique sites:
Tb1 0.033 0.000 0.067 (multiplicity 2)
Tb2 0.077 0.500 0.151 (multiplicity 2)
Tb3 0.161 0.000 0.320 (multiplicity 2)
Tb4 0.211 0.500 0.422 (multiplicity 2)
Tb5 0.279 0.000 0.558 (multiplicity 2)
Tb6 0.401 0.000 0.806 (multiplicity 2)
Ho1 0.500 0.500 0.000 (multiplicity 1)
Sc1 0.356 0.500 0.715 (multiplicity 2)

[2]
Below is crystalline TbHo2Sc7 at its relaxed geometry, with properties calculated at the GGA-PBE level.

## Properties
The calculation puts the density of states at the Fermi level at 15.55 states/eV/f.u. As for the formation energy: 0.15 eV/atom.

abc: 6.023 27.110 3.323
angles: 90.00 90.00 90.00
Space group Cmmm (No. 65)
Unique sites:
Tb1 0.000 0.000 0.000 (multiplicity 2)
Ho1 0.000 0.289 0.500 (multiplicity 4)
Sc1 0.000 0.182 0.000 (multiplicity 4)
Sc2 0.000 0.500 0.500 (multiplicity 2)
Sc3 0.247 0.099 0.500 (multiplicity 8)

[3]
Below is crystalline Tb2Ho5Sc2 at its relaxed geometry, with properties calculated at the GGA-PBE level.

## Properties
The calculation puts the density of states at the Fermi level at 12.92 states/eV/f.u. The calculation puts the energy above the most stable polymorph in this dataset at 0 meV/atom. As for the formation energy: 0.02 eV/atom.

abc: 18.163 3.516 9.312
angles: 90.00 115.80 90.00
Space group C2/m (No. 12)
Unique sites:
Tb1 0.143 0.000 0.159 (multiplicity 4)
Ho1 0.000 0.000 0.500 (multiplicity 2)
Ho2 0.165 0.500 0.497 (multiplicity 4)
Ho3 0.183 0.000 0.833 (multiplicity 4)
Sc1 0.018 0.500 0.834 (multiplicity 4)

[4]
Below is crystalline Tb12Ho6Sc at its relaxed geometry, with properties calculated at the GGA-PBE level.

## Properties
The calculation puts the density of states at the Fermi level at 33.61 states/eV/f.u. The calculation puts the energy above the most stable polymorph in this dataset at 0 meV/atom. As for the formation energy: 0.15 eV/atom.

abc: 11.8515 11.8515 15.0058
angles: 90.00 90.00 120.00
Space group R-3 (No. 148, hexagonal axes)
Unique sites:
Tb1 0.0059 0.1745 0.1889 (multiplicity 18)
Tb2 0.0457 0.1940 0.4153 (multiplicity 18)
Ho1 0.0159 0.5898 0.6848 (multiplicity 18)
Sc1 0.0000 0.0000 0.0000 (multiplicity 3)